# 1
A plane-wave DFT calculation with PBE was carried out for KNaSe4 after structural relaxation.

Results
Theoretical density, kg/m³: 3292
E, eV/atom: -3.285
Raw formation energy, eV per atom: -0.560
Symmetry: No. 2
Total moment, μB/f.u.: 0.00
D(E_F), states/eV/atom: 0.41

The structure in POSCAR format:
```
KNaSe4
1.0
4.6475 0.1370 0.0513
-0.1526 4.2991 1.7536
-0.0946 -0.8959 9.1667
Se K Na
4 1 1
Direct
0.0011 0.6383 0.2742 Se
0.5013 0.8420 0.2789 Se
0.0015 0.3671 0.7295 Se
0.5013 0.1634 0.7248 Se
0.5013 0.5027 0.0019 K
0.0013 0.0027 0.5019 Na
```

***

# 2
A plane-wave DFT calculation with PBE was carried out for KNa3Se after structural relaxation.

Results
Theoretical density, kg/m³: 1460
E, eV/atom: -1.339
Raw formation energy, eV per atom: 0.368
Symmetry: No. 221
Total moment, μB/f.u.: 0.00
Energy relative to the lowest polymorph listed for this composition, eV per formula unit: 4.239
D(E_F), states/eV/atom: 0.03

The structure in POSCAR format:
```
KNa3Se
1.0
-5.8194 -1.0529 0.8130
0.8895 -5.7927 -1.1351
0.9892 -0.9854 5.8040
Na Se K
3 1 1
Direct
0.5000 0.0000 0.0000 Na
0.0000 0.5000 0.0000 Na
0.0000 0.0000 0.5000 Na
0.5000 0.5000 0.5000 Se
0.0000 0.0000 0.0000 K
```

***

# 3
A plane-wave DFT calculation with PBE was carried out for KNaSe2 after structural relaxation.

Results
Theoretical density, kg/m³: 2955
E, eV/atom: -2.648
Raw formation energy, eV per atom: -0.301
Symmetry: No. 166
Total moment, μB/f.u.: 0.00
Energy relative to the lowest polymorph listed for this composition, eV per formula unit: 2.093
D(E_F), states/eV/atom: 1.02

The structure in POSCAR format:
```
KNaSe2
1.0
2.1469 0.0000 10.3228
-1.0735 1.8593 10.3228
-1.0735 -1.8593 10.3228
K Na Se
1 1 2
Direct
0.5000 0.5000 0.5000 K
0.0000 0.0000 0.0000 Na
0.9134 0.9134 0.9134 Se
0.0866 0.0866 0.0866 Se
```

***

# 4
A plane-wave DFT calculation with PBE was carried out for KNaSe2 after structural relaxation.

Results
Theoretical density, kg/m³: 3424
E, eV/atom: -2.897
Raw formation energy, eV per atom: -0.550
Symmetry: No. 225
Total moment, μB/f.u.: 0.28
Energy relative to the lowest polymorph listed for this composition, eV per formula unit: 1.097
D(E_F), states/eV/atom: 1.32

The structure in POSCAR format:
```
KNaSe2
1.0
-4.2691 -2.6853 -1.7052
-4.5379 0.1724 2.7787
-4.2050 2.6334 -1.9304
Na K Se
1 1 2
Direct
0.0000 0.0000 0.0000 Na
0.5000 0.5000 0.5000 K
0.7500 0.7500 0.7500 Se
0.2500 0.2500 0.2500 Se
```

***

# 5
A plane-wave DFT calculation with PBE was carried out for K3NaSe4 after structural relaxation.

Results
Theoretical density, kg/m³: 2786
E, eV/atom: -3.195
Raw formation energy, eV per atom: -0.876
Symmetry: No. 71
Total moment, μB/f.u.: 0.00

The structure in POSCAR format:
```
K3NaSe4
1.0
-3.0820 -0.2282 3.9353
-1.3742 -5.6632 -1.4046
9.0605 0.0030 3.9150
K Se Na
3 4 1
Direct
0.7975 0.7975 0.5950 K
0.2025 0.2025 0.4050 K
0.0000 0.5000 0.0000 K
0.6246 0.8269 0.2491 Se
0.3754 0.5778 0.7509 Se
0.6246 0.4222 0.2491 Se
0.3754 0.1731 0.7509 Se
0.5000 0.0000 0.0000 Na
```

***

# 6
A plane-wave DFT calculation with PBE was carried out for K2Na2Se after structural relaxation.

Results
Theoretical density, kg/m³: 1490
E, eV/atom: -2.016
Raw formation energy, eV per atom: -0.353
Symmetry: No. 127
Total moment, μB/f.u.: 0.00
Energy relative to the lowest polymorph listed for this composition, eV per formula unit: 0.372
D(E_F), states/eV/atom: 0.01

The structure in POSCAR format:
```
K2Na2Se
1.0
8.3014 0.0000 0.0000
0.0000 8.3014 0.0000
0.0000 0.0000 6.5696
K Na Se
4 4 2
Direct
0.6638 0.1638 0.0000 K
0.1638 0.3362 0.0000 K
0.8362 0.6638 0.0000 K
0.3362 0.8362 0.0000 K
0.6577 0.8423 0.5000 Na
0.1577 0.6577 0.5000 Na
0.8423 0.3423 0.5000 Na
0.3423 0.1577 0.5000 Na
0.0000 0.0000 0.0000 Se
0.5000 0.5000 0.0000 Se
```

***

# 7
A plane-wave DFT calculation with PBE was carried out for KNa3Se after structural relaxation.

Results
Theoretical density, kg/m³: 1581
E, eV/atom: -2.187
Raw formation energy, eV per atom: -0.479
Symmetry: No. 221
Total moment, μB/f.u.: 0.00
Energy relative to the lowest polymorph listed for this composition, eV per formula unit: 0.000
D(E_F), states/eV/atom: 0.27

The structure in POSCAR format:
```
KNa3Se
1.0
5.8131 0.0000 0.0000
0.0000 5.8131 0.0000
0.0000 0.0000 5.8131
Na Se K
3 1 1
Direct
0.5000 0.0000 0.0000 Na
0.0000 0.5000 0.0000 Na
0.0000 0.0000 0.5000 Na
0.0000 0.0000 0.0000 Se
0.5000 0.5000 0.5000 K
```

***

# 8
A plane-wave DFT calculation with PBE was carried out for K2NaSe2 after structural relaxation.

Results
Theoretical density, kg/m³: 2817
E, eV/atom: -2.854
Raw formation energy, eV per atom: -0.758
Symmetry: No. 127
Total moment, μB/f.u.: 0.00
Energy relative to the lowest polymorph listed for this composition, eV per formula unit: 0.473
D(E_F), states/eV/atom: 0.17

The structure in POSCAR format:
```
K2NaSe2
1.0
-2.9271 -4.4412 7.5943
-1.9707 -7.4693 -5.1276
3.2858 -1.2390 0.5419
K Na Se
4 2 4
Direct
0.3781 0.8781 0.0000 K
0.6219 0.1219 0.0000 K
0.1219 0.3781 0.0000 K
0.8781 0.6219 0.0000 K
0.5000 0.5000 0.0000 Na
0.0000 0.0000 0.0000 Na
0.3220 0.1780 0.5000 Se
0.6780 0.8220 0.5000 Se
0.1780 0.6780 0.5000 Se
0.8220 0.3220 0.5000 Se
```

***

# 9
A plane-wave DFT calculation with PBE was carried out for KNaSe after structural relaxation.

Results
Theoretical density, kg/m³: 2731
E, eV/atom: -2.836
Raw formation energy, eV per atom: -0.869
Symmetry: No. 107
Total moment, μB/f.u.: 0.00

The structure in POSCAR format:
```
KNaSe
1.0
-1.4799 3.9320 1.0851
-1.5109 -1.6006 3.7395
5.4733 -0.2234 -0.4017
Na K Se
1 1 1
Direct
0.9588 0.9588 0.9177 Na
0.2713 0.2713 0.5426 K
0.6199 0.6199 0.2397 Se
```

***

# 10
A plane-wave DFT calculation with PBE was carried out for K2NaSe2 after structural relaxation.

Results
Theoretical density, kg/m³: 2743
E, eV/atom: -2.949
Raw formation energy, eV per atom: -0.852
Symmetry: No. 127
Total moment, μB/f.u.: 1.00
Energy relative to the lowest polymorph listed for this composition, eV per formula unit: 0.000
D(E_F), states/eV/atom: 0.00

The structure in POSCAR format:
```
K2NaSe2
1.0
8.0767 0.0000 0.0000
0.0000 8.0767 0.0000
0.0000 0.0000 4.8087
K Se Na
4 4 2
Direct
0.1502 0.6502 0.5000 K
0.6502 0.8498 0.5000 K
0.3498 0.1502 0.5000 K
0.8498 0.3498 0.5000 K
0.3525 0.8525 0.0000 Se
0.6475 0.1475 0.0000 Se
0.1475 0.3525 0.0000 Se
0.8525 0.6475 0.0000 Se
0.5000 0.5000 0.0000 Na
0.0000 0.0000 0.0000 Na
```

***

# 11
A plane-wave DFT calculation with PBE was carried out for KNaSe3 after structural relaxation.

Results
Theoretical density, kg/m³: 3289
E, eV/atom: -3.277
Raw formation energy, eV per atom: -0.703
Symmetry: No. 52
Total moment, μB/f.u.: 0.00
Energy relative to the lowest polymorph listed for this composition, eV per formula unit: 0.000
D(E_F), states/eV/atom: 0.02

The structure in POSCAR format:
```
KNaSe3
1.0
-4.2602 2.1138 -4.0352
-2.2848 -5.8479 -0.6512
-9.7294 2.5110 11.5873
K Se Na
4 12 4
Direct
0.9868 0.0000 0.2500 K
0.0132 0.0000 0.7500 K
0.4868 0.5000 0.7500 K
0.5132 0.5000 0.2500 K
0.0340 0.5347 0.8676 Se
0.5340 0.9653 0.3676 Se
0.7500 0.2500 0.0340 Se
0.7500 0.7500 0.4660 Se
0.9660 0.5347 0.3676 Se
0.5340 0.0347 0.1324 Se
0.2500 0.2500 0.5340 Se
0.9660 0.4653 0.1324 Se
0.4660 0.9653 0.8676 Se
0.2500 0.7500 0.9660 Se
0.4660 0.0347 0.6324 Se
0.0340 0.4653 0.6324 Se
0.2500 0.2500 0.9997 Na
0.7500 0.7500 0.0003 Na
0.7500 0.2500 0.4997 Na
0.2500 0.7500 0.5003 Na
```

***

# 12
A plane-wave DFT calculation with PBE was carried out for KNaSe2 after structural relaxation.

Results
Theoretical density, kg/m³: 2680
E, eV/atom: -3.100
Raw formation energy, eV per atom: -0.754
Symmetry: No. 122
Total moment, μB/f.u.: 0.00
Energy relative to the lowest polymorph listed for this composition, eV per formula unit: 0.283
D(E_F), states/eV/atom: 0.00

The structure in POSCAR format:
```
KNaSe2
1.0
5.3764 0.0000 0.0000
0.0000 5.3764 0.0000
2.6882 2.6882 9.4303
Na Se K
2 4 2
Direct
0.5000 0.5000 0.0000 Na
0.2500 0.7500 0.5000 Na
0.8750 0.6929 0.7500 Se
0.4429 0.1250 0.2500 Se
0.3071 0.6250 0.2500 Se
0.3750 0.5571 0.7500 Se
0.0000 0.0000 0.0000 K
0.7500 0.2500 0.5000 K
```

***

# 13
A plane-wave DFT calculation with PBE was carried out for KNaSe3 after structural relaxation.

Results
Theoretical density, kg/m³: 3255
E, eV/atom: -2.611
Raw formation energy, eV per atom: -0.037
Symmetry: No. 221
Total moment, μB/f.u.: 0.94
Energy relative to the lowest polymorph listed for this composition, eV per formula unit: 3.329
D(E_F), states/eV/atom: 1.34

The structure in POSCAR format:
```
KNaSe3
1.0
-0.1303 -4.8099 2.3224
5.1672 0.4747 1.2729
-1.3523 2.2771 4.6402
Se K Na
3 1 1
Direct
0.0000 0.5000 0.0000 Se
0.5000 0.0000 0.0000 Se
0.0000 0.0000 0.5000 Se
0.5000 0.5000 0.5000 K
0.0000 0.0000 0.0000 Na
```